Compound: Zr3Au
Source: Alexandria via LeMat-Bulk
Functional: meta-GGA SCAN
Structure: single point on PBEsol structure

Cell lengths 3.1141, 5.5690, 5.5690 Å; angles 116.61, 100.74, 100.74 degrees
Sites, in units of the cell vectors:
Zr1 0.5000 0.0000 0.5000
Zr2 0.0000 0.5000 0.5000
Zr3 0.5000 0.5000 0.0000
Au1 0.0000 0.0000 0.0000

Computed properties:
SG = R-3m, No. 166
calculated formation energy = -0.26 eV/atom
calculated density = 9.68 Mg/m³
volume = 20.2 A^3/atom
raw total energy = -162.3 eV per cell
N(E_F) = 1.016 states/eV/atom

---

Compound: AlI3Cl6
Source: Alexandria via LeMat-Bulk
Functional: meta-GGA SCAN
Structure: single point on PBEsol structure

Cell lengths 7.2677, 14.2241, 14.1972 Å; angles 103.10, 90.00, 104.80 degrees
Sites, in units of the cell vectors:
Al1 0.3249 0.7350 0.5215
Al2 0.6751 0.2650 0.4785
Al3 0.5899 0.2650 0.9785
Al4 0.4101 0.7350 0.0215
Cl1 0.5441 0.3772 0.4615
Cl2 0.5908 0.2245 0.6156
Cl3 0.4870 0.8654 0.1354
Cl4 0.6216 0.1346 0.3646
Cl5 0.9860 0.3297 0.4995
Cl6 0.3784 0.8654 0.6354
Cl7 0.6337 0.2245 0.1156
Cl8 0.0545 0.0465 0.3828
Cl9 0.5952 0.4976 0.2874
Cl10 0.1670 0.6228 0.0385
Cl11 0.0140 0.6703 0.5005
Cl12 0.5130 0.1346 0.8646
Cl13 0.3437 0.3297 0.9995
Cl14 0.0976 0.5024 0.2126
Cl15 0.9024 0.4976 0.7874
Cl16 0.4048 0.5024 0.7126
Cl17 0.9920 0.0465 0.8828
Cl18 0.3663 0.7755 0.8844
Cl19 0.4092 0.7755 0.3844
Cl20 0.0080 0.9535 0.1172
Cl21 0.6563 0.6703 0.0005
Cl22 0.4559 0.6228 0.5385
Cl23 0.9455 0.9535 0.6172
Cl24 0.8330 0.3772 0.9615
I1 0.6287 0.5832 0.1610
I2 0.9167 0.7546 0.2670
I3 0.0833 0.2454 0.7330
I4 0.2115 0.9193 0.3794
I5 0.3713 0.4168 0.8390
I6 0.2922 0.0807 0.1206
I7 0.7078 0.9193 0.8794
I8 0.1621 0.2454 0.2330
I9 0.9545 0.5832 0.6610
I10 0.8379 0.7546 0.7670
I11 0.0455 0.4168 0.3390
I12 0.7885 0.0807 0.6206

Computed properties:
SG = C2/c, No. 15
calculated density = 2.99 Mg/m³
volume = 34.5 A^3/atom
raw total energy = -695.2 eV per cell
N(E_F) = 0.000 states/eV/atom

---

Compound: TiCoTe2
Source: Alexandria via LeMat-Bulk
Functional: meta-GGA SCAN
Structure: single point on PBEsol structure

Cell lengths 3.4865, 3.4865, 8.7209 Å; angles 78.47, 78.47, 60.00 degrees
Site moments in Bohr magnetons follow the coordinates.
Sites, in units of the cell vectors:
Ti1 0.5000 0.5000 0.5000  -0.22
Co1 0.0000 0.0000 0.0000  1.89
Te1 0.9052 0.9052 0.2844  -0.01
Te2 0.0948 0.0948 0.7156  -0.01

Computed properties:
SG = R-3m, No. 166
calculated density = 6.73 Mg/m³
volume = 22.3 A^3/atom
raw total energy = -107.9 eV per cell
N(E_F) = 0.665 states/eV/atom

---

Compound: MnCo2P
Source: Alexandria via LeMat-Bulk
Functional: meta-GGA SCAN
Structure: single point on PBEsol structure

Cell lengths 2.5696, 3.5151, 4.7596 Å; angles 90.00, 105.66, 90.00 degrees
Site moments in Bohr magnetons follow the coordinates.
Sites, in units of the cell vectors:
P1 0.9518 0.5000 0.9035  -0.12
Co1 0.1929 0.5000 0.3858  1.55
Co2 0.8136 0.0000 0.6271  1.08
Mn1 0.5501 0.0000 0.1002  2.70

Computed properties:
SG = Amm2, No. 38
calculated formation energy = -0.14 eV/atom
calculated density = 8.17 Mg/m³
volume = 10.3 A^3/atom
raw total energy = -63.8 eV per cell
N(E_F) = 0.820 states/eV/atom

---

Compound: Sr4Ca5
Source: Alexandria via LeMat-Bulk
Functional: meta-GGA SCAN
Structure: single point on PBEsol structure

Cell lengths 5.6725, 8.9423, 8.9423 Å; angles 84.23, 71.51, 71.51 degrees
Sites, in units of the cell vectors:
Ca1 0.3363 0.3274 0.0000
Ca2 0.6637 0.0000 0.6726
Ca3 0.0000 0.0000 0.0000
Ca4 0.6637 0.6726 0.0000
Ca5 0.3363 0.0000 0.3274
Sr1 0.3260 0.6740 0.6740
Sr2 0.0000 0.6740 0.3260
Sr3 0.0000 0.3260 0.6740
Sr4 0.6740 0.3260 0.3260

Computed properties:
SG = I4/mmm, No. 139
calculated formation energy = 0.02 eV/atom
calculated density = 2.24 Mg/m³
volume = 45.3 A^3/atom
relative energy among the computed polymorphs = 0.00 eV per formula unit
raw total energy = -137.3 eV per cell
N(E_F) = 0.873 states/eV/atom

---

Compound: Na3SiGe
Source: Alexandria via LeMat-Bulk
Functional: meta-GGA SCAN
Structure: single point on PBEsol structure

Cell lengths 5.3820, 5.3820, 5.3820 Å; angles 90.00, 90.00, 90.00 degrees
Site moments in Bohr magnetons follow the coordinates.
Sites, in units of the cell vectors:
Na1 0.5000 0.0000 0.0000  0.01
Na2 0.0000 0.5000 0.0000  0.01
Na3 0.0000 0.0000 0.5000  0.01
Ge1 0.5000 0.5000 0.5000  -0.59
Si1 0.0000 0.0000 0.0000  0.27

Computed properties:
SG = Pm-3m, No. 221
calculated density = 1.81 Mg/m³
volume = 31.2 A^3/atom
raw total energy = -38.4 eV per cell
N(E_F) = 0.532 states/eV/atom

---

Compound: MgFe2Ru
Source: Alexandria via LeMat-Bulk
Functional: meta-GGA SCAN
Structure: single point on PBEsol structure

Cell lengths 2.6362, 2.6362, 7.4546 Å; angles 90.00, 90.00, 90.00 degrees
Site moments in Bohr magnetons follow the coordinates.
Sites, in units of the cell vectors:
Fe1 0.0000 0.0000 0.7293  2.38
Fe2 0.0000 0.0000 0.2707  2.38
Ru1 0.5000 0.5000 0.5000  -0.51
Mg1 0.5000 0.5000 0.0000  -0.05

Computed properties:
SG = P4/mmm, No. 123
calculated formation energy = 0.23 eV/atom
calculated density = 7.60 Mg/m³
volume = 13.0 A^3/atom
raw total energy = -75.1 eV per cell
N(E_F) = 0.716 states/eV/atom

---

Compound: GeOsN2
Source: Alexandria via LeMat-Bulk
Functional: meta-GGA SCAN
Structure: single point on PBEsol structure

Cell lengths 2.8723, 2.8723, 6.6182 Å; angles 77.47, 77.47, 60.00 degrees
Site moments in Bohr magnetons follow the coordinates.
Sites, in units of the cell vectors:
N1 0.8968 0.8968 0.3097  0.06
N2 0.1032 0.1032 0.6903  0.06
Os1 0.5000 0.5000 0.5000  0.32
Ge1 0.0000 0.0000 0.0000  -0.01

Computed properties:
SG = R-3m, No. 166
calculated density = 10.55 Mg/m³
volume = 11.4 A^3/atom
raw total energy = -107.1 eV per cell
N(E_F) = 0.625 states/eV/atom

---

Compound: MgMo2Br
Source: Alexandria via LeMat-Bulk
Functional: meta-GGA SCAN
Structure: single point on PBEsol structure

Cell lengths 3.2437, 4.6316, 5.1211 Å; angles 90.00, 90.00, 93.47 degrees
Sites, in units of the cell vectors:
Mg1 0.5000 0.5000 0.5000
Mo1 0.2115 0.3133 0.0000
Mo2 0.7885 0.6867 0.0000
Br1 0.0000 0.0000 0.5000

Computed properties:
SG = P2/m, No. 10
calculated density = 6.40 Mg/m³
volume = 19.2 A^3/atom
relative energy among the computed polymorphs = 1.00 eV per formula unit
raw total energy = -92.2 eV per cell
N(E_F) = 0.623 states/eV/atom

---

Compound: Sc2TcHg
Source: Alexandria via LeMat-Bulk
Functional: meta-GGA SCAN
Structure: single point on PBEsol structure

Cell lengths 3.2957, 3.2957, 6.8015 Å; angles 90.00, 90.00, 90.00 degrees
Sites, in units of the cell vectors:
Sc1 0.0000 0.0000 0.2179
Sc2 0.0000 0.0000 0.7821
Tc1 0.5000 0.5000 0.0000
Hg1 0.5000 0.5000 0.5000

Computed properties:
SG = P4/mmm, No. 123
calculated formation energy = -0.51 eV/atom
calculated density = 8.73 Mg/m³
volume = 18.5 A^3/atom
raw total energy = -133.7 eV per cell
N(E_F) = 0.725 states/eV/atom

---

Compound: Tc2PtSe
Source: Alexandria via LeMat-Bulk
Functional: meta-GGA SCAN
Structure: single point on PBEsol structure

Cell lengths 2.8453, 3.7594, 5.6951 Å; angles 90.00, 90.00, 90.00 degrees
Sites, in units of the cell vectors:
Pt1 0.0000 0.0000 0.4742
Tc1 0.0000 0.0000 0.0132
Tc2 0.5000 0.5000 0.2204
Se1 0.5000 0.5000 0.7922

Computed properties:
SG = Pmm2, No. 25
calculated density = 12.81 Mg/m³
volume = 15.2 A^3/atom
raw total energy = -159.7 eV per cell
N(E_F) = 0.817 states/eV/atom

---

Compound: CeAs2Rh2
Source: Alexandria via LeMat-Bulk
Functional: meta-GGA SCAN
Structure: single point on PBEsol structure

Cell lengths 4.2157, 4.2157, 9.8395 Å; angles 90.00, 90.00, 90.00 degrees
Site moments in Bohr magnetons follow the coordinates.
Sites, in units of the cell vectors:
As1 0.5000 0.5000 0.5000  -0.01
As2 0.0000 0.0000 0.5000  -0.01
As3 0.5000 0.0000 0.1369  -0.02
As4 0.0000 0.5000 0.8631  -0.02
Rh1 0.5000 0.5000 0.0000  -0.19
Rh2 0.0000 0.0000 0.0000  -0.19
Rh3 0.5000 0.0000 0.3786  -0.04
Rh4 0.0000 0.5000 0.6214  -0.04
Ce1 0.0000 0.5000 0.2525  0.61
Ce2 0.5000 0.0000 0.7475  0.61

Computed properties:
SG = P4/nmm, No. 129
calculated formation energy = -1.09 eV/atom
calculated density = 9.42 Mg/m³
volume = 17.5 A^3/atom
raw total energy = -315.8 eV per cell
N(E_F) = 0.835 states/eV/atom

---

Compound: Cr2NiSb
Source: Alexandria via LeMat-Bulk
Functional: meta-GGA SCAN
Structure: single point on PBEsol structure

Cell lengths 2.8711, 3.7612, 5.0785 Å; angles 90.00, 90.00, 90.00 degrees
Sites, in units of the cell vectors:
Sb1 0.5000 0.5000 0.5000
Ni1 0.5000 0.5000 0.0000
Cr1 0.0000 0.0000 0.1957
Cr2 0.0000 0.0000 0.8043

Computed properties:
SG = Pmmm, No. 47
calculated density = 8.61 Mg/m³
volume = 13.7 A^3/atom
raw total energy = -88.7 eV per cell
N(E_F) = 0.821 states/eV/atom

---

Compound: Y2MoO6
Source: Alexandria via LeMat-Bulk
Functional: meta-GGA SCAN
Structure: single point on PBEsol structure

Cell lengths 5.3173, 9.7959, 9.7959 Å; angles 67.97, 75.01, 75.01 degrees
Sites, in units of the cell vectors:
O1 0.4861 0.9512 0.8889
O2 0.9861 0.8889 0.9512
O3 0.1291 0.1157 0.6736
O4 0.4177 0.8087 0.3369
O5 0.0783 0.3909 0.4262
O6 0.4217 0.5738 0.6091
O7 0.2414 0.5667 0.9754
O8 0.9217 0.6091 0.5738
O9 0.8622 0.7127 0.8161
O10 0.5783 0.4262 0.3909
O11 0.6378 0.1839 0.2873
O12 0.3622 0.8161 0.7127
O13 0.3709 0.3264 0.8843
O14 0.0139 0.1111 0.0488
O15 0.5823 0.1913 0.6631
O16 0.8709 0.8843 0.3264
O17 0.7586 0.4333 0.0246
O18 0.7414 0.9754 0.5667
O19 0.5139 0.0488 0.1111
O20 0.2586 0.0246 0.4333
O21 0.6291 0.6736 0.1157
O22 0.0823 0.6631 0.1913
O23 0.1378 0.2873 0.1839
O24 0.9177 0.3369 0.8087
Mo1 0.5619 0.0124 0.2960
Mo2 0.0619 0.2960 0.0124
Mo3 0.4381 0.9876 0.7040
Mo4 0.9381 0.7040 0.9876
Y1 0.7500 0.1354 0.8646
Y2 0.6207 0.5518 0.7846
Y3 0.8793 0.2154 0.4482
Y4 0.3793 0.4482 0.2154
Y5 0.2500 0.3925 0.6075
Y6 0.2500 0.8646 0.1354
Y7 0.1207 0.7846 0.5518
Y8 0.7500 0.6075 0.3925

Computed properties:
SG = C2/c, No. 15
calculated density = 5.47 Mg/m³
volume = 12.5 A^3/atom
raw total energy = -628.9 eV per cell
N(E_F) = 0.000 states/eV/atom

---

Compound: Zr5Au3
Source: Alexandria via LeMat-Bulk
Functional: meta-GGA SCAN
Structure: single point on PBEsol structure

Cell lengths 4.2800, 6.0298, 6.0298 Å; angles 92.93, 90.00, 90.00 degrees
Sites, in units of the cell vectors:
Zr1 0.5000 0.7305 0.2695
Zr2 0.0000 0.5000 0.0000
Zr3 0.0000 0.0000 0.5000
Zr4 0.0000 0.0000 0.0000
Zr5 0.5000 0.2695 0.7305
Au1 0.5000 0.7578 0.7578
Au2 0.5000 0.2422 0.2422
Au3 0.0000 0.5000 0.5000

Computed properties:
SG = Cmmm, No. 65
calculated formation energy = -0.54 eV/atom
calculated density = 11.19 Mg/m³
volume = 19.4 A^3/atom
relative energy among the computed polymorphs = 1.00 eV per formula unit
raw total energy = -365.2 eV per cell
N(E_F) = 0.795 states/eV/atom

---

Compound: DyPd
Source: Alexandria via LeMat-Bulk
Functional: meta-GGA SCAN
Structure: single point on PBEsol structure

Cell lengths 3.4503, 3.4484, 3.4484 Å; angles 90.00, 90.00, 90.00 degrees
Sites, in units of the cell vectors:
Pd1 0.0000 0.5000 0.5000
Dy1 0.5000 0.0000 0.0000

Computed properties:
SG = Pm-3m, No. 221
calculated formation energy = -0.98 eV/atom
calculated density = 10.88 Mg/m³
volume = 20.5 A^3/atom
raw total energy = -82.5 eV per cell
N(E_F) = 0.523 states/eV/atom

---

Compound: Tb5CuBi3
Source: Alexandria via LeMat-Bulk
Functional: meta-GGA SCAN
Structure: single point on PBEsol structure

Cell lengths 6.3202, 9.2133, 9.2133 Å; angles 120.00, 90.00, 90.00 degrees
Sites, in units of the cell vectors:
Cu1 0.0000 0.0000 0.0000
Cu2 0.5000 0.0000 0.0000
Bi1 0.7500 0.0000 0.6139
Bi2 0.2500 0.6139 0.6139
Bi3 0.7500 0.3861 0.3861
Bi4 0.7500 0.6139 0.0000
Bi5 0.2500 0.0000 0.3861
Bi6 0.2500 0.3861 0.0000
Tb1 0.2500 0.0000 0.7452
Tb2 0.0000 0.3333 0.6667
Tb3 0.0000 0.6667 0.3333
Tb4 0.7500 0.2548 0.0000
Tb5 0.5000 0.3333 0.6667
Tb6 0.5000 0.6667 0.3333
Tb7 0.2500 0.2548 0.2548
Tb8 0.7500 0.0000 0.2548
Tb9 0.7500 0.7452 0.7452
Tb10 0.2500 0.7452 0.0000

Computed properties:
SG = P6_3/mcm, No. 193
calculated formation energy = -0.76 eV/atom
calculated density = 10.62 Mg/m³
volume = 25.8 A^3/atom
raw total energy = -983.2 eV per cell
N(E_F) = 0.913 states/eV/atom

---

Compound: KMo2H
Source: Alexandria via LeMat-Bulk
Functional: meta-GGA SCAN
Structure: single point on PBEsol structure

Cell lengths 5.7887, 5.7887, 5.7887 Å; angles 60.00, 60.00, 60.00 degrees
Sites, in units of the cell vectors:
Mo1 0.1250 0.1250 0.6250
Mo2 0.6250 0.1250 0.1250
Mo3 0.1250 0.1250 0.1250
Mo4 0.1250 0.6250 0.1250
H1 0.0000 0.0000 0.0000
H2 0.2500 0.2500 0.2500
K1 0.5000 0.5000 0.5000
K2 0.7500 0.7500 0.7500

Computed properties:
SG = Fd-3m, No. 227
calculated density = 5.62 Mg/m³
volume = 17.1 A^3/atom
relative energy among the computed polymorphs = 0.00 eV per formula unit
raw total energy = -153.7 eV per cell
N(E_F) = 0.783 states/eV/atom

---

Compound: Y2BiSbRh
Source: Alexandria via LeMat-Bulk
Functional: meta-GGA SCAN
Structure: single point on PBEsol structure

Cell lengths 4.8670, 5.6757, 5.6757 Å; angles 90.00, 90.00, 90.00 degrees
Site moments in Bohr magnetons follow the coordinates.
Sites, in units of the cell vectors:
Bi1 0.0000 0.0000 0.0000  -0.02
Rh1 0.5000 0.0000 0.0000  -0.60
Sb1 0.5000 0.5000 0.5000  -0.10
Y1 0.0000 0.5000 0.0000  -0.01
Y2 0.0000 0.0000 0.5000  -0.01

Computed properties:
SG = P4/mmm, No. 123
calculated density = 6.48 Mg/m³
volume = 31.4 A^3/atom
raw total energy = -204.7 eV per cell
N(E_F) = 0.643 states/eV/atom

---

Compound: LaBe3Pt
Source: Alexandria via LeMat-Bulk
Functional: meta-GGA SCAN
Structure: single point on PBEsol structure

Cell lengths 4.1200, 5.9883, 6.5984 Å; angles 91.89, 90.00, 110.12 degrees
Sites, in units of the cell vectors:
Be1 0.1806 0.3612 0.9981
Be2 0.7567 0.0000 0.0000
Be3 0.9279 0.8558 0.7222
Be4 0.2433 0.0000 0.0000
Be5 0.8194 0.6388 0.0019
Be6 0.0721 0.1442 0.2778
La1 0.6391 0.2781 0.6479
La2 0.3609 0.7219 0.3521
Pt1 0.3489 0.6978 0.8140
Pt2 0.6511 0.3022 0.1860

Computed properties:
SG = C2/m, No. 12
calculated formation energy = -0.63 eV/atom
calculated density = 7.85 Mg/m³
volume = 15.3 A^3/atom
relative energy among the computed polymorphs = 0.00 eV per formula unit
raw total energy = -259.0 eV per cell
N(E_F) = 0.507 states/eV/atom